1.
Ca2MoPt2 GGA-PBE optimized geometry; ΔH_f (0 K) = -364.8 meV per atom
1.0
6.795 0.000 0.000
0.000 6.795 0.000
0.000 0.000 4.654
Ca Mo Pt
4 2 4
Direct
0.174 0.326 0.000
0.326 0.826 0.000
0.674 0.174 0.000
0.826 0.674 0.000
0.000 0.000 0.500
0.500 0.500 0.500
0.140 0.640 0.500
0.360 0.140 0.500
0.640 0.860 0.500
0.860 0.360 0.500

---

2.
PrCd2Ni GGA-PBE optimized geometry; ΔH_f (0 K) = 317.9 meV per atom
1.0
1.615 0.932 10.410
-1.615 0.932 10.410
0.000 -1.865 10.410
Pr Cd Ni
1 2 1
Direct
0.000 0.000 0.000
0.105 0.105 0.105
0.895 0.895 0.895
0.500 0.500 0.500

---

3.
TiIr3Se GGA-PBE optimized geometry; offset from the most stable computed form = 0.330 eV per atom; formation energy (no corrections) = 1.357 eV/atom
1.0
4.619 0.000 0.000
0.000 4.619 0.000
0.000 0.000 4.619
Ti Ir Se
1 3 1
Direct
0.000 0.000 0.000
0.000 0.000 0.500
0.000 0.500 0.000
0.500 0.000 0.000
0.500 0.500 0.500

---

4.
LiLaEuAl GGA-PBE optimized geometry; ΔH_f (0 K) = -136.7 meV per atom
1.0
0.000 3.842 3.842
3.842 0.000 3.842
3.842 3.842 0.000
Li La Eu Al
1 1 1 1
Direct
0.000 0.000 0.000
0.250 0.250 0.250
0.750 0.750 0.750
0.500 0.500 0.500